Computed, not measured: crystalline Y2NpAg3S6 at its relaxed geometry at the PBE-GGA level of DFT.

Output
Uncorrected energy = -72.65 eV per cell
E_form (uncorrected) = -1.122 eV per atom

a = 4.0402 Å, b = 7.5889 Å, c = 8.8155 Å
α = 98.63°, β = 103.25°, γ = 90.00°
With the nearest neighbours (Å) after each atom.
Fractional positions:
S 0.6646 0.0905 0.3292  3 Ag 2.72-3.01, 2 Y 2.75, 1 Np 2.80
Ag 0.1576 0.8479 0.3153  6 S 2.72-3.01
Ag 0.8424 0.1521 0.6847  6 S 2.72-3.01
S 0.9956 0.7499 0.9912  2 Np 2.77, 3 Ag 2.77-2.78, 1 Y 2.77
Ag 0.5000 0.5000 0.0000  6 S 2.78-2.90
Np 0.5000 0.0000 0.0000  6 S 2.77-2.80
Y 0.1674 0.3383 0.3348  6 S 2.75-2.77
S 0.6708 0.5873 0.3416  3 Y 2.75-2.76, 3 Ag 2.86-2.90
Y 0.8326 0.6617 0.6652  6 S 2.75-2.77
S 0.3292 0.4127 0.6584  3 Y 2.75-2.76, 3 Ag 2.86-2.90
S 0.0044 0.2501 0.0088  2 Np 2.77, 3 Ag 2.77-2.78, 1 Y 2.77
S 0.3354 0.9095 0.6708  3 Ag 2.72-3.01, 2 Y 2.75, 1 Np 2.80

=====

Computed, not measured: crystalline AsP2SBr at its relaxed geometry at the PBE-GGA level of DFT.

Output
Uncorrected energy = -16.37 eV per cell
E_form (uncorrected) = 0.980 eV per atom

a = 4.9328 Å, b = 4.9328 Å, c = 4.6298 Å
α = 90.00°, β = 90.00°, γ = 90.00°
With the nearest neighbours (Å) after each atom.
Fractional positions:
P 0.0000 0.5000 0.0000  2 As 2.47
P 0.5000 0.0000 0.0000  2 As 2.47
S 0.0000 0.0000 0.5000  2 As 2.31
Br 0.5000 0.5000 0.5000  8 P 3.38, 4 S 3.49
As 0.0000 0.0000 0.0000  2 S 2.31, 4 P 2.47

=====

Computed, not measured: crystalline Tb6NiOs2 at its relaxed geometry at the PBE-GGA level of DFT.

Output
Uncorrected energy = -115.84 eV per cell
ΔH_f (0 K) = -0.21 eV/atom

a = 6.5552 Å, b = 7.4469 Å, c = 9.3582 Å
α = 90.00°, β = 88.43°, γ = 90.00°
With the nearest neighbours (Å) after each atom.
Fractional positions:
Tb 0.6678 0.1739 0.9328  1 Ni 2.73, 2 Os 2.87-3.01
Tb 0.1678 0.3261 0.4328  1 Ni 2.73, 2 Os 2.87-3.01
Os 0.9610 0.3811 0.7424  6 Tb 2.80-3.04
Tb 0.1580 0.3280 0.0678  1 Ni 2.64, 1 Os 2.90
Tb 0.1547 0.0474 0.7580  1 Ni 2.67, 2 Os 2.80-2.81
Os 0.0390 0.6189 0.2576  6 Tb 2.80-3.04
Os 0.5390 0.8811 0.7576  6 Tb 2.80-3.04
Tb 0.8420 0.6720 0.9322  1 Ni 2.64, 1 Os 2.90
Ni 0.0000 0.0000 0.5000  6 Tb 2.64-2.73
Os 0.4610 0.1189 0.2424  6 Tb 2.80-3.04
Tb 0.8453 0.9526 0.2420  1 Ni 2.67, 2 Os 2.80-2.81
Tb 0.8322 0.6739 0.5672  1 Ni 2.73, 2 Os 2.87-3.01
Tb 0.6580 0.1720 0.5678  1 Ni 2.64, 1 Os 2.90
Ni 0.5000 0.5000 0.0000  6 Tb 2.64-2.73
Tb 0.3322 0.8261 0.0672  1 Ni 2.73, 2 Os 2.87-3.01
Tb 0.6547 0.4526 0.2580  1 Ni 2.67, 2 Os 2.80-2.81
Tb 0.3420 0.8280 0.4322  1 Ni 2.64, 1 Os 2.90
Tb 0.3453 0.5474 0.7420  1 Ni 2.67, 2 Os 2.80-2.81

=====

Computed, not measured: crystalline Tm2PuB6 at its relaxed geometry at the PBE-GGA level of DFT.

Output
Uncorrected energy = -68.10 eV per cell
ΔH_f (0 K) = -0.53 eV/atom

a = 3.8595 Å, b = 5.6051 Å, c = 5.6051 Å
α = 120.00°, β = 90.00°, γ = 90.00°
With the nearest neighbours (Å) after each atom.
Fractional positions:
Tm 0.0000 0.6667 0.3333  12 B 2.69
B 0.5000 0.0000 0.3327  3 B 1.87-1.88
B 0.5000 0.6673 0.0000  3 B 1.87
B 0.5000 0.0000 0.6673  3 B 1.87-1.88
Tm 0.0000 0.3333 0.6667  12 B 2.69
B 0.5000 0.3327 0.0000  3 B 1.87
B 0.5000 0.3327 0.3327  3 B 1.87-1.88
Pu 0.0000 0.0000 0.0000  12 B 2.68
B 0.5000 0.6673 0.6673  3 B 1.87-1.88

=====

Computed, not measured: crystalline PmThTl at its relaxed geometry at the PBE-GGA level of DFT.

Output
Uncorrected energy = -14.42 eV per cell
ΔH_f (0 K) = 0.04 eV/atom

a = 3.6445 Å, b = 5.4499 Å, c = 5.4499 Å
α = 120.00°, β = 90.00°, γ = 90.00°
With the nearest neighbours (Å) after each atom.
Fractional positions:
Pm 0.3991 0.3333 0.6667  3 Tl 3.28, 3 Th 3.55, 2 Pm 3.64
Tl 0.6545 0.6667 0.3333  3 Pm 3.28, 3 Th 3.32, 2 Tl 3.64
Th 0.9464 0.0000 0.0000  3 Tl 3.32, 3 Pm 3.55, 2 Th 3.64

=====

Computed, not measured: crystalline TlPdPt at its relaxed geometry at the PBE-GGA level of DFT.

Output
Uncorrected energy = -13.62 eV per cell
ΔH_f (0 K) = -0.01 eV/atom

a = 3.4993 Å, b = 3.4993 Å, c = 5.0462 Å
α = 110.29°, β = 110.29°, γ = 90.00°
With the nearest neighbours (Å) after each atom.
Fractional positions:
Tl 0.2834 0.2834 0.5668  5 Pt 2.87-2.94, 5 Pd 2.87-2.94
Pt 0.9494 0.9494 0.8988  5 Tl 2.87-2.94, 5 Pd 2.88-2.92
Pd 0.6172 0.6172 0.2344  5 Tl 2.87-2.94, 5 Pt 2.88-2.92

=====

Computed, not measured: crystalline BaAcCuP at its relaxed geometry at the PBE-GGA level of DFT.

Output
Uncorrected energy = -17.30 eV per cell
ΔH_f (0 K) = -0.44 eV/atom

a = 5.4226 Å, b = 5.4226 Å, c = 5.4226 Å
α = 60.00°, β = 60.00°, γ = 60.00°
With the nearest neighbours (Å) after each atom.
Fractional positions:
Cu 0.2500 0.2500 0.2500  4 Ba 3.32, 4 Ac 3.32
Ba 0.5000 0.5000 0.5000  4 Cu 3.32, 4 P 3.32
Ac 0.0000 0.0000 0.0000  4 Cu 3.32, 4 P 3.32
P 0.7500 0.7500 0.7500  4 Ac 3.32, 4 Ba 3.32

=====

Computed, not measured: crystalline YZr2Tc at its relaxed geometry at the PBE-GGA level of DFT.

Output
Uncorrected energy = -33.24 eV per cell
ΔH_f (0 K) = 0.17 eV/atom

a = 4.9569 Å, b = 4.9569 Å, c = 4.9569 Å
α = 60.00°, β = 60.00°, γ = 60.00°
With the nearest neighbours (Å) after each atom.
Fractional positions:
Tc 0.5000 0.5000 0.5000  4 Zr 3.04, 4 Y 3.04
Zr 0.0000 0.0000 0.0000  4 Y 3.04, 4 Zr 3.04
Zr 0.2500 0.2500 0.2500  4 Zr 3.04, 4 Tc 3.04
Y 0.7500 0.7500 0.7500  4 Tc 3.04, 4 Zr 3.04

=====

- Which of these has the highest uncorrected energy?
  TlPdPt

=====

- Look up the uncorrected energy of the third one.
  -115.84 eV per cell

=====

- Look up the uncorrected energy of the second one.
  -16.37 eV per cell

=====

- The highest uncorrected energy belongs to which entry?
  TlPdPt